! LaNiO2, relaxed, DFT GGA+U; values from VASP
! spin magnetization: 1.000 μB/f.u.
! energy: -51.596 eV per cell
&SYSTEM
  ibrav = 0, nat = 8, ntyp = 3
/
ATOMIC_SPECIES
Ni 58.69 Ni.upf
O 16.00 O.upf
La 138.91 La.upf
CELL_PARAMETERS angstrom
6.667 -0.789 0.448
1.157 4.460 0.576
-1.718 -0.074 4.029
ATOMIC_POSITIONS angstrom
Ni 1.371 4.149 3.817
Ni 5.834 1.299 3.287
O 2.292 3.849 1.825
O 6.675 1.300 1.267
O 6.175 3.291 3.472
O 1.890 0.633 3.974
La 2.175 1.518 1.731
La 6.594 3.777 1.278